(1)
Below is MoAsRh2 after structural relaxation, with properties calculated at the PBE level.

POSCAR file:
```
MoAsRh2
1.0
4.6577 0.0000 0.0000
0.0000 4.6577 0.0000
0.0000 0.0000 2.8192
Mo As Rh
1 1 2
Direct
0.0000 0.0000 0.0000 Mo
0.5000 0.5000 0.0000 As
0.0000 0.5000 0.5000 Rh
0.5000 0.0000 0.5000 Rh
```

Computed properties:
Calculated density: 10.23 Mg/m³
DOS at the Fermi energy: 1.3537 states/eV per atom
Energy of formation from the pure elements: 0.107 eV/atom

=====

(2)
Below is MoAsRh after structural relaxation, with properties calculated at the PBE level.

POSCAR file:
```
MoAsRh
1.0
4.2837 0.0000 0.0000
-2.1419 3.7098 0.0000
0.0000 0.0000 2.8717
Mo As Rh
1 1 1
Direct
0.0000 0.0000 0.0000 Mo
0.3333 0.6667 0.7670 As
0.6667 0.3333 0.4953 Rh
```

Computed properties:
Calculated density: 9.96 Mg/m³
Excess energy over the best structure of this formula in the dataset: 7 meV/atom
DOS at the Fermi energy: 0.5980 states/eV per atom
Energy of formation from the pure elements: -0.076 eV/atom

=====

(3)
Below is MoAs2Rh after structural relaxation, with properties calculated at the PBE level.

POSCAR file:
```
MoAs2Rh
1.0
0.0000 3.1219 3.1219
3.1219 0.0000 3.1219
3.1219 3.1219 0.0000
Mo As Rh
1 2 1
Direct
0.0000 0.0000 0.0000 Mo
0.2500 0.2500 0.2500 As
0.7500 0.7500 0.7500 As
0.5000 0.5000 0.5000 Rh
```

Computed properties:
Calculated density: 9.52 Mg/m³
DOS at the Fermi energy: 0.3677 states/eV per atom
Energy of formation from the pure elements: -0.121 eV/atom

=====

(4)
Below is MoAsRh2 after structural relaxation, with properties calculated at the PBE level.

POSCAR file:
```
MoAsRh2
1.0
1.4199 0.8198 8.5694
-1.4199 0.8198 8.5694
0.0000 -1.6395 8.5694
Mo As Rh
1 1 2
Direct
0.0000 0.0000 0.0000 Mo
0.5000 0.5000 0.5000 As
0.2468 0.2468 0.2468 Rh
0.7532 0.7532 0.7532 Rh
```

Computed properties:
Calculated density: 10.45 Mg/m³
DOS at the Fermi energy: 0.8067 states/eV per atom
Energy of formation from the pure elements: -0.088 eV/atom

=====

(5)
Below is MoAsRh2 after structural relaxation, with properties calculated at the PBE level.

POSCAR file:
```
MoAsRh2
1.0
1.4327 0.8271 8.4692
-1.4327 0.8271 8.4692
0.0000 -1.6543 8.4692
Mo As Rh
1 1 2
Direct
0.0000 0.0000 0.0000 Mo
0.7521 0.7521 0.7521 As
0.2515 0.2515 0.2515 Rh
0.4939 0.4939 0.4939 Rh
```

Computed properties:
Calculated density: 10.39 Mg/m³
DOS at the Fermi energy: 0.6304 states/eV per atom
Energy of formation from the pure elements: -0.013 eV/atom

=====

(6)
Below is MoAsRh2 after structural relaxation, with properties calculated at the PBE level.

POSCAR file:
```
MoAsRh2
1.0
2.8380 0.0000 0.0000
0.0000 4.0913 0.0000
-1.3060 0.0000 5.1332
Mo As Rh
1 1 2
Direct
0.0000 0.0000 0.0000 Mo
0.0000 0.0000 0.5000 As
0.3800 0.5000 0.7455 Rh
0.6200 0.5000 0.2545 Rh
```

Computed properties:
Calculated density: 10.49 Mg/m³
DOS at the Fermi energy: 0.6863 states/eV per atom
Energy of formation from the pure elements: -0.160 eV/atom

=====

(7)
Below is MoAsRh3 after structural relaxation, with properties calculated at the PBE level.

POSCAR file:
```
MoAsRh3
1.0
4.5133 0.0000 0.0000
0.0000 4.5133 0.0000
0.0000 0.0000 4.5133
Mo As Rh
1 1 3
Direct
0.0000 0.0000 0.0000 Mo
0.5000 0.5000 0.5000 As
0.0000 0.5000 0.5000 Rh
0.5000 0.0000 0.5000 Rh
0.5000 0.5000 0.0000 Rh
```

Computed properties:
Calculated density: 8.66 Mg/m³
Excess energy over the best structure of this formula in the dataset: 0 meV/atom
DOS at the Fermi energy: 0.7592 states/eV per atom
Energy of formation from the pure elements: 0.775 eV/atom

=====

(8)
Below is MoAsRh2 after structural relaxation, with properties calculated at the PBE level.

POSCAR file:
```
MoAsRh2
1.0
4.4981 -1.4347 0.0000
4.4981 1.4347 0.0000
-0.3022 0.0000 4.6945
Mo As Rh
1 1 2
Direct
0.0000 0.0000 0.0000 Mo
0.2223 0.2223 0.6716 As
0.4708 0.4708 0.4930 Rh
0.7345 0.7345 0.2013 Rh
```

Computed properties:
Calculated density: 10.32 Mg/m³
DOS at the Fermi energy: 0.8653 states/eV per atom
Energy of formation from the pure elements: -0.094 eV/atom